First-principles (GGA+U) data for an optimized crystal structure of BaVAg2O4, as listed in Alexandria.

Values from the calculation:
The value obtained for the density of states at the Fermi level is 0.07 states/eV/atom. The total energy is -0.4273 Ry per atom.

Geometry as POSCAR:
```
BaVAg2O4
1.0
6.046 0.000 0.000
0.000 6.046 0.000
0.000 0.000 7.155
Ba V Ag O
2 2 4 8
Direct
0.000 0.000 0.000 Ba
0.500 0.500 0.500 Ba
0.000 0.000 0.500 V
0.500 0.500 0.000 V
0.000 0.500 0.250 Ag
0.000 0.500 0.750 Ag
0.500 0.000 0.250 Ag
0.500 0.000 0.750 Ag
0.170 0.170 0.656 O
0.170 0.830 0.344 O
0.330 0.330 0.156 O
0.330 0.670 0.844 O
0.670 0.330 0.844 O
0.670 0.670 0.156 O
0.830 0.170 0.344 O
0.830 0.830 0.656 O
```